InNi2H | SCAN | single point on PBEsol structure

```
InNi2H
1.0
4.924 0.016 0.025
-2.125 4.442 -0.025
-2.125 -1.774 4.073
Ni In H
4 2 2
Cartesian
1.787 0.432 2.875 Ni
-2.174 2.920 2.210 Ni
2.412 1.108 0.518 Ni
-0.675 0.909 2.542 Ni
0.338 2.896 1.012 In
0.000 0.000 0.000 In
0.338 -0.212 3.061 H
-2.125 1.334 2.024 H
```

Properties
The space group is No. 122. The value obtained for the total magnetization is 0.0 μB per formula unit. The calculation puts the total energy at -138.38 eV per cell.